No. 1
Material: SrTiCu2I
Method: DFT, GGA-PBEsol
State: optimized geometry Values from VASP.

Structure (Quantum ESPRESSO input):
```
&SYSTEM
  ibrav = 0, nat = 5, ntyp = 4
/
ATOMIC_SPECIES
Sr 87.62 Sr.upf
Ti 47.87 Ti.upf
Cu 63.55 Cu.upf
I 126.90 I.upf
CELL_PARAMETERS angstrom
4.7457 0.0000 0.0000
0.0000 4.7457 0.0000
0.0000 0.0000 6.4476
ATOMIC_POSITIONS crystal
Sr 0.0000 0.0000 0.0000
Ti 0.0000 0.0000 0.5000
Cu 0.0000 0.5000 0.5000
Cu 0.5000 0.0000 0.5000
I 0.5000 0.5000 0.0000
```

Calculated values
**Total moment**: 0.508 μB/atom
**Mass density**: 4.45 Mg/m³
**Raw formation energy**: 3.25 eV/f.u.
**Space-group type**: P4/mmm (123)
**Calculated total energy**: -17.4 eV/cell

---

No. 2
Material: Sb3SeBr
Method: DFT, GGA-PBEsol
State: optimized geometry Values from VASP.

Structure (Quantum ESPRESSO input):
```
&SYSTEM
  ibrav = 0, nat = 5, ntyp = 3
/
ATOMIC_SPECIES
Sb 121.76 Sb.upf
Se 78.96 Se.upf
Br 79.90 Br.upf
CELL_PARAMETERS angstrom
5.4278 0.0000 0.0000
0.0000 5.4278 0.0000
0.0000 0.0000 5.4278
ATOMIC_POSITIONS crystal
Sb 0.0000 0.0000 0.5000
Sb 0.0000 0.5000 0.0000
Sb 0.5000 0.0000 0.0000
Se 0.5000 0.5000 0.5000
Br 0.0000 0.0000 0.0000
```

Calculated values
**Total moment**: 0.000 μB/atom
**Mass density**: 5.44 Mg/m³
**Raw formation energy**: 5.53 eV/f.u.
**Space-group type**: Pm-3m (221)
**Calculated total energy**: -13.9 eV/cell

---

No. 3
Material: AlCoAg2
Method: DFT, GGA-PBEsol
State: optimized geometry Values from VASP.

Structure (Quantum ESPRESSO input):
```
&SYSTEM
  ibrav = 0, nat = 4, ntyp = 3
/
ATOMIC_SPECIES
Al 26.98 Al.upf
Co 58.93 Co.upf
Ag 107.87 Ag.upf
CELL_PARAMETERS angstrom
3.7660 0.0000 0.0000
0.0000 3.7660 0.0000
0.0000 0.0000 3.9941
ATOMIC_POSITIONS crystal
Al 0.0000 0.0000 0.0000
Co 0.5000 0.5000 0.0000
Ag 0.0000 0.5000 0.5000
Ag 0.5000 0.0000 0.5000
```

Calculated values
**Total moment**: 0.017 μB/atom
**Mass density**: 8.84 Mg/m³
**Space-group type**: P4/mmm (123)
**Calculated total energy**: -18.3 eV/cell
**Formation energy**: 0.04 eV per atom

---

No. 4
Material: Ba2Mg
Method: DFT, GGA-PBEsol
State: optimized geometry Values from VASP.

Structure (Quantum ESPRESSO input):
```
&SYSTEM
  ibrav = 0, nat = 6, ntyp = 2
/
ATOMIC_SPECIES
Ba 137.33 Ba.upf
Mg 24.30 Mg.upf
CELL_PARAMETERS angstrom
6.2934 0.0000 0.0000
-3.1467 5.4503 0.0000
0.0000 0.0000 7.8475
ATOMIC_POSITIONS crystal
Ba 0.0000 0.0000 0.0000
Ba 0.0000 0.0000 0.5000
Ba 0.3333 0.6667 0.2500
Ba 0.6667 0.3333 0.7500
Mg 0.3333 0.6667 0.7500
Mg 0.6667 0.3333 0.2500
```

Calculated values
**Total moment**: 0.001 μB/atom
**Mass density**: 3.69 Mg/m³
**Space-group type**: P6_3/mmc (194)
**Calculated total energy**: -12.0 eV/cell
**Formation energy**: 0.01 eV per atom

---

No. 5
Material: TmSnPd
Method: DFT, GGA-PBEsol
State: optimized geometry Values from VASP.

Structure (Quantum ESPRESSO input):
```
&SYSTEM
  ibrav = 0, nat = 9, ntyp = 3
/
ATOMIC_SPECIES
Tm 168.93 Tm.upf
Sn 118.71 Sn.upf
Pd 106.42 Pd.upf
CELL_PARAMETERS angstrom
7.4556 0.0000 0.0000
-3.7278 6.4568 0.0000
0.0000 0.0000 3.8225
ATOMIC_POSITIONS crystal
Tm 0.0000 0.4039 0.0000
Tm 0.4039 0.0000 0.0000
Tm 0.5961 0.5961 0.0000
Sn 0.0000 0.7375 0.5000
Sn 0.2626 0.2626 0.5000
Sn 0.7375 0.0000 0.5000
Pd 0.0000 0.0000 0.0000
Pd 0.3333 0.6667 0.5000
Pd 0.6667 0.3333 0.5000
```

Calculated values
**Total moment**: 0.000 μB/atom
**Mass density**: 10.67 Mg/m³
**Space-group type**: P-62m (189)
**Calculated total energy**: -54.1 eV/cell
**Formation energy**: -0.97 eV per atom

---

No. 6
Material: KRu2Se
Method: DFT, GGA-PBEsol
State: optimized geometry Values from VASP.

Structure (Quantum ESPRESSO input):
```
&SYSTEM
  ibrav = 0, nat = 4, ntyp = 3
/
ATOMIC_SPECIES
K 39.10 K.upf
Ru 101.07 Ru.upf
Se 78.96 Se.upf
CELL_PARAMETERS angstrom
5.3439 -1.4445 0.0000
5.3439 1.4445 0.0000
-2.2896 0.0000 5.4972
ATOMIC_POSITIONS crystal
K 0.0000 0.0000 0.0000
Ru 0.1965 0.1965 0.6088
Ru 0.8035 0.8035 0.3912
Se 0.5000 0.5000 0.5000
```

Calculated values
**Total moment**: 0.000 μB/atom
**Mass density**: 6.27 Mg/m³
**Raw formation energy**: 2.19 eV/f.u.
**Space-group type**: C2/m (12)
**Calculated total energy**: -23.1 eV/cell

---

No. 7
Material: SiBi3P
Method: DFT, GGA-PBEsol
State: optimized geometry Values from VASP.

Structure (Quantum ESPRESSO input):
```
&SYSTEM
  ibrav = 0, nat = 5, ntyp = 3
/
ATOMIC_SPECIES
Si 28.09 Si.upf
Bi 208.98 Bi.upf
P 30.97 P.upf
CELL_PARAMETERS angstrom
5.2798 0.0000 0.0000
0.0000 5.2798 0.0000
0.0000 0.0000 5.2798
ATOMIC_POSITIONS crystal
Si 0.0000 0.0000 0.0000
Bi 0.0000 0.0000 0.5000
Bi 0.0000 0.5000 0.0000
Bi 0.5000 0.0000 0.0000
P 0.5000 0.5000 0.5000
```

Calculated values
**Total moment**: 0.000 μB/atom
**Mass density**: 7.74 Mg/m³
**Raw formation energy**: 4.76 eV/f.u.
**Space-group type**: Pm-3m (221)
**Calculated total energy**: -19.6 eV/cell

---

No. 8
Material: LiTlAs2
Method: DFT, GGA-PBEsol
State: optimized geometry Values from VASP.

Structure (Quantum ESPRESSO input):
```
&SYSTEM
  ibrav = 0, nat = 4, ntyp = 3
/
ATOMIC_SPECIES
Li 6.94 Li.upf
Tl 204.38 Tl.upf
As 74.92 As.upf
CELL_PARAMETERS angstrom
4.4704 -1.7923 0.0000
4.4704 1.7923 0.0000
-1.3363 0.0000 5.5265
ATOMIC_POSITIONS crystal
Li 0.0000 0.0000 0.0000
Tl 0.5000 0.5000 0.5000
As 0.2555 0.2555 0.8444
As 0.7445 0.7445 0.1556
```

Calculated values
**Total moment**: 0.000 μB/atom
**Mass density**: 6.77 Mg/m³
**Space-group type**: C2/m (12)
**Calculated total energy**: -15.6 eV/cell
**Formation energy**: -0.20 eV per atom

---

No. 9
Material: BaTiI2
Method: DFT, GGA-PBEsol
State: optimized geometry Values from VASP.

Structure (Quantum ESPRESSO input):
```
&SYSTEM
  ibrav = 0, nat = 4, ntyp = 3
/
ATOMIC_SPECIES
Ba 137.33 Ba.upf
Ti 47.87 Ti.upf
I 126.90 I.upf
CELL_PARAMETERS angstrom
0.0000 3.9919 3.9919
3.9919 0.0000 3.9919
3.9919 3.9919 0.0000
ATOMIC_POSITIONS crystal
Ba 0.0000 0.0000 0.0000
Ti 0.5000 0.5000 0.5000
I 0.2500 0.2500 0.2500
I 0.7500 0.7500 0.7500
```

Calculated values
**Total moment**: 0.906 μB/atom
**Mass density**: 5.73 Mg/m³
**Raw formation energy**: -1.42 eV/f.u.
**Space-group type**: Fm-3m (225)
**Calculated total energy**: -15.4 eV/cell
**Relative energy among the computed polymorphs**: 0 kJ/mol of formula units

---

No. 10
Material: Na10Zn4O9
Method: DFT, GGA-PBEsol
State: optimized geometry Values from VASP.

Structure (Quantum ESPRESSO input):
```
&SYSTEM
  ibrav = 0, nat = 46, ntyp = 3
/
ATOMIC_SPECIES
Na 22.99 Na.upf
Zn 65.41 Zn.upf
O 16.00 O.upf
CELL_PARAMETERS angstrom
6.7535 -5.3780 0.0000
6.7535 5.3780 0.0000
-2.3834 0.0000 8.2822
ATOMIC_POSITIONS crystal
Na 0.0000 0.0000 0.0000
Na 0.0268 0.2213 0.2924
Na 0.0822 0.6694 0.9381
Na 0.0898 0.3602 0.6256
Na 0.1838 0.0668 0.7737
Na 0.1909 0.5261 0.2266
Na 0.3306 0.9178 0.0619
Na 0.3437 0.2461 0.3666
Na 0.3535 0.5230 0.7905
Na 0.4474 0.1093 0.6411
Na 0.4635 0.5365 0.5000
Na 0.4739 0.8091 0.7734
Na 0.4770 0.6465 0.2095
Na 0.6398 0.9102 0.3744
Na 0.7017 0.2983 0.0000
Na 0.7539 0.6563 0.6334
Na 0.7787 0.9732 0.7076
Na 0.8907 0.5526 0.3589
Na 0.9268 0.0732 0.5000
Na 0.9332 0.8162 0.2263
Zn 0.0288 0.3309 0.9664
Zn 0.1105 0.7226 0.5939
Zn 0.2774 0.8895 0.4061
Zn 0.3648 0.2631 0.0301
Zn 0.6691 0.9712 0.0336
Zn 0.6730 0.2634 0.3313
Zn 0.7366 0.3270 0.6687
Zn 0.7369 0.6352 0.9699
O 0.1900 0.1009 0.5073
O 0.1917 0.1819 0.1041
O 0.1985 0.7853 0.1954
O 0.2003 0.5054 0.4949
O 0.2005 0.4019 0.8915
O 0.2147 0.8015 0.8046
O 0.4786 0.3885 0.2230
O 0.4946 0.0918 0.8987
O 0.4946 0.7997 0.5051
O 0.5981 0.7995 0.1085
O 0.6115 0.5214 0.7770
O 0.6122 0.1734 0.5056
O 0.8109 0.0992 0.1948
O 0.8181 0.8083 0.8959
O 0.8266 0.3878 0.4944
O 0.8991 0.8100 0.4927
O 0.9008 0.1891 0.8052
O 0.9082 0.5054 0.1013
```

Calculated values
**Total moment**: 0.000 μB/atom
**Mass density**: 3.51 Mg/m³
**Raw formation energy**: -31.23 eV/f.u.
**Space-group type**: C2 (5)
**Calculated total energy**: -197.6 eV/cell

---

No. 11
Material: ZrAl2Pt
Method: DFT, GGA-PBEsol
State: optimized geometry Values from VASP.

Structure (Quantum ESPRESSO input):
```
&SYSTEM
  ibrav = 0, nat = 4, ntyp = 3
/
ATOMIC_SPECIES
Zr 91.22 Zr.upf
Al 26.98 Al.upf
Pt 195.08 Pt.upf
CELL_PARAMETERS angstrom
-1.4206 2.5321 4.7639
1.4206 -2.5321 4.7639
1.4206 2.5321 -4.7639
ATOMIC_POSITIONS crystal
Zr 0.0000 0.0000 0.0000
Al 0.2748 0.7748 0.5000
Al 0.7252 0.2252 0.5000
Pt 0.5000 0.5000 0.0000
```

Calculated values
**Total moment**: 0.000 μB/atom
**Mass density**: 8.24 Mg/m³
**Space-group type**: Immm (71)
**Calculated total energy**: -26.7 eV/cell
**Formation energy**: -0.61 eV per atom

---

No. 12
Material: NbMo3S
Method: DFT, GGA-PBEsol
State: optimized geometry Values from VASP.

Structure (Quantum ESPRESSO input):
```
&SYSTEM
  ibrav = 0, nat = 5, ntyp = 3
/
ATOMIC_SPECIES
Nb 92.91 Nb.upf
Mo 95.94 Mo.upf
S 32.06 S.upf
CELL_PARAMETERS angstrom
4.7162 0.0000 0.0000
0.0000 4.7162 0.0000
0.0000 0.0000 4.7162
ATOMIC_POSITIONS crystal
Nb 0.0000 0.0000 0.0000
Mo 0.0000 0.0000 0.5000
Mo 0.0000 0.5000 0.0000
Mo 0.5000 0.0000 0.0000
S 0.5000 0.5000 0.5000
```

Calculated values
**Total moment**: 0.000 μB/atom
**Mass density**: 6.53 Mg/m³
**Raw formation energy**: 11.09 eV/f.u.
**Space-group type**: Pm-3m (221)
**Calculated total energy**: -39.4 eV/cell

---

No. 13
Material: Tl5Au3
Method: DFT, GGA-PBEsol
State: optimized geometry Values from VASP.

Structure (Quantum ESPRESSO input):
```
&SYSTEM
  ibrav = 0, nat = 16, ntyp = 2
/
ATOMIC_SPECIES
Tl 204.38 Tl.upf
Au 196.97 Au.upf
CELL_PARAMETERS angstrom
8.5826 0.0000 0.0000
-4.2913 7.4328 0.0000
0.0000 0.0000 6.0222
ATOMIC_POSITIONS crystal
Tl 0.0000 0.2512 0.2500
Tl 0.0000 0.7488 0.7500
Tl 0.2512 0.0000 0.2500
Tl 0.2512 0.2512 0.7500
Tl 0.3333 0.6667 0.0000
Tl 0.3333 0.6667 0.5000
Tl 0.6667 0.3333 0.0000
Tl 0.6667 0.3333 0.5000
Tl 0.7488 0.0000 0.7500
Tl 0.7488 0.7488 0.2500
Au 0.0000 0.3920 0.7500
Au 0.0000 0.6080 0.2500
Au 0.3920 0.0000 0.7500
Au 0.3920 0.3920 0.2500
Au 0.6080 0.0000 0.2500
Au 0.6080 0.6080 0.7500
```

Calculated values
**Total moment**: 0.000 μB/atom
**Mass density**: 13.94 Mg/m³
**Space-group type**: P6_3/mcm (193)
**Calculated total energy**: -49.3 eV/cell
**Formation energy**: 0.03 eV per atom
**Relative energy among the computed polymorphs**: 0 kJ/mol of formula units